Record 1
# Hf3VCo | Alexandria | GGA-PBE | optimized geometry
data_Hf3VCo
_chemical_formula_sum 'Hf3 V1 Co1'
_cell_length_a 4.7596
_cell_length_b 4.7596
_cell_length_c 4.7596
_cell_angle_alpha 90.00
_cell_angle_beta 90.00
_cell_angle_gamma 90.00
_space_group_name_H-M_alt 'P 1'
_space_group_IT_number 1
loop_
_space_group_symop_operation_xyz
'x,y,z'
loop_
_atom_site_label
_atom_site_fract_x
_atom_site_fract_y
_atom_site_fract_z
Hf1 0.0000 0.0000 0.5000
Hf2 0.5000 0.0000 0.0000
Hf3 0.0000 0.5000 0.0000
Co1 0.0000 0.0000 0.0000
V1 0.5000 0.5000 0.5000
# * SG: Pm-3m (221)
# * crystal system: cubic
# * energy relative to the elements: 0.453 eV per atom
# * ΔE to the lowest computed polymorph: 0.000 eV/atom
# * total magnetic moment: 3.1 μB/cell

Record 2
# Hf2V2Co | Alexandria | GGA-PBE | optimized geometry
data_Hf2V2Co
_chemical_formula_sum 'Hf4 V4 Co2'
_cell_length_a 6.1877
_cell_length_b 6.1877
_cell_length_c 4.3427
_cell_angle_alpha 90.00
_cell_angle_beta 90.00
_cell_angle_gamma 90.00
_space_group_name_H-M_alt 'P 1'
_space_group_IT_number 1
loop_
_space_group_symop_operation_xyz
'x,y,z'
loop_
_atom_site_label
_atom_site_fract_x
_atom_site_fract_y
_atom_site_fract_z
Hf1 0.8302 0.3302 0.5000
Hf2 0.1698 0.6698 0.5000
Hf3 0.6698 0.8302 0.5000
Hf4 0.3302 0.1698 0.5000
Co1 0.5000 0.5000 0.0000
Co2 0.0000 0.0000 0.0000
V1 0.3577 0.8577 0.0000
V2 0.1423 0.3577 0.0000
V3 0.6423 0.1423 0.0000
V4 0.8577 0.6423 0.0000
# * SG: P4/mbm (127)
# * crystal system: tetragonal
# * energy relative to the elements: 0.083 eV per atom
# * total magnetic moment: 0.0 μB/cell

Record 3
# HfVCo | Alexandria | GGA-PBE | optimized geometry
data_HfVCo
_chemical_formula_sum 'Hf2 V2 Co2'
_cell_length_a 5.1563
_cell_length_b 5.0141
_cell_length_c 5.0141
_cell_angle_alpha 58.20
_cell_angle_beta 59.06
_cell_angle_gamma 59.06
_space_group_name_H-M_alt 'P 1'
_space_group_IT_number 1
loop_
_space_group_symop_operation_xyz
'x,y,z'
loop_
_atom_site_label
_atom_site_fract_x
_atom_site_fract_y
_atom_site_fract_z
Hf1 0.1259 0.6241 0.6241
Hf2 0.8741 0.3759 0.3759
V1 0.5000 0.5000 0.0000
V2 0.5000 0.0000 0.5000
Co1 0.0000 0.0000 0.0000
Co2 0.5000 0.0000 0.0000
# * SG: Imma (74)
# * crystal system: orthorhombic
# * energy relative to the elements: -0.295 eV per atom
# * ΔE to the lowest computed polymorph: 0.000 eV/atom
# * total magnetic moment: 0.0 μB/cell

Record 4
# HfV2Co2 | Alexandria | GGA-PBE | optimized geometry
data_HfV2Co2
_chemical_formula_sum 'Hf1 V2 Co2'
_cell_length_a 3.9180
_cell_length_b 3.9180
_cell_length_c 5.4928
_cell_angle_alpha 69.11
_cell_angle_beta 69.11
_cell_angle_gamma 90.00
_space_group_name_H-M_alt 'P 1'
_space_group_IT_number 1
loop_
_space_group_symop_operation_xyz
'x,y,z'
loop_
_atom_site_label
_atom_site_fract_x
_atom_site_fract_y
_atom_site_fract_z
V1 0.2500 0.7500 0.5000
V2 0.7500 0.2500 0.5000
Co1 0.6197 0.6197 0.7606
Co2 0.3803 0.3803 0.2394
Hf1 0.0000 0.0000 0.0000
# * SG: I4/mmm (139)
# * crystal system: tetragonal
# * energy relative to the elements: -0.135 eV per atom
# * ΔE to the lowest computed polymorph: 0.000 eV/atom
# * total magnetic moment: 0.0 μB/cell

Record 5
# HfVCo | Alexandria | GGA-PBE | optimized geometry
data_HfVCo
_chemical_formula_sum 'Hf1 V1 Co1'
_cell_length_a 2.9631
_cell_length_b 2.9631
_cell_length_c 5.5731
_cell_angle_alpha 105.42
_cell_angle_beta 105.42
_cell_angle_gamma 90.00
_space_group_name_H-M_alt 'P 1'
_space_group_IT_number 1
loop_
_space_group_symop_operation_xyz
'x,y,z'
loop_
_atom_site_label
_atom_site_fract_x
_atom_site_fract_y
_atom_site_fract_z
Hf1 0.9490 0.9490 0.8980
Co1 0.2610 0.2610 0.5219
V1 0.6400 0.6400 0.2800
# * SG: I4mm (107)
# * crystal system: tetragonal
# * energy relative to the elements: -0.114 eV per atom
# * ΔE to the lowest computed polymorph: 0.181 eV/atom
# * total magnetic moment: 0.5 μB/cell

Record 6
# HfV2Co2 | Alexandria | GGA-PBE | optimized geometry
data_HfV2Co2
_chemical_formula_sum 'Hf2 V4 Co4'
_cell_length_a 7.1727
_cell_length_b 7.1727
_cell_length_c 2.6569
_cell_angle_alpha 90.00
_cell_angle_beta 90.00
_cell_angle_gamma 90.00
_space_group_name_H-M_alt 'P 1'
_space_group_IT_number 1
loop_
_space_group_symop_operation_xyz
'x,y,z'
loop_
_atom_site_label
_atom_site_fract_x
_atom_site_fract_y
_atom_site_fract_z
Co1 0.3559 0.1441 0.5000
Co2 0.6441 0.8559 0.5000
Co3 0.1441 0.6441 0.5000
Co4 0.8559 0.3559 0.5000
V1 0.3514 0.8514 0.0000
V2 0.6486 0.1486 0.0000
V3 0.8514 0.6486 0.0000
V4 0.1486 0.3514 0.0000
Hf1 0.0000 0.0000 0.0000
Hf2 0.5000 0.5000 0.0000
# * SG: P4/mbm (127)
# * crystal system: tetragonal
# * energy relative to the elements: -0.001 eV per atom
# * ΔE to the lowest computed polymorph: 0.134 eV/atom
# * total magnetic moment: 0.0 μB/cell